# 1
Ca2LaTbSe4 | PBE | relaxed

Unit cell a=4.179 b=7.247 c=7.351 alpha=109.13 beta=90.00 gamma=90.00
Sites, in units of the cell vectors:
Ca  0.500  0.000  0.500
Ca  0.000  0.500  0.500
La  0.000  0.000  0.000
Tb  0.500  0.500  0.000
Se  0.500  0.261  0.257
Se  0.500  0.739  0.743
Se  0.000  0.257  0.749
Se  0.000  0.743  0.251

Calculated values
M_tot, μB/cell: 0.00
E_form (uncorrected), eV/atom: -1.918
Symmetry: No. 10

***

# 2
LaNb2Re2 | PBE | relaxed

Unit cell a=4.400 b=4.400 c=6.396 alpha=69.88 beta=69.88 gamma=90.00
Sites, in units of the cell vectors:
Re  0.750  0.250  0.500
Re  0.250  0.750  0.500
Nb  0.374  0.374  0.253
Nb  0.626  0.626  0.747
La  0.000  0.000  0.000

Calculated values
Polymorph energy (0 for the lowest one), eV per atom: 0.257
M_tot, μB/cell: 0.00
Energy relative to the elements, kJ/mol of formula units: 153
Symmetry: No. 139

***

# 3
Na3Hg2Pd | PBE | relaxed

Unit cell a=6.003 b=5.913 c=9.396 alpha=108.34 beta=108.63 gamma=90.00
Sites, in units of the cell vectors:
Na  0.489  0.685  0.369
Na  0.511  0.315  0.631
Na  0.120  0.815  0.631
Na  0.880  0.185  0.369
Na  0.500  0.750  0.000
Na  0.500  0.250  0.000
Hg  0.311  0.125  0.251
Hg  0.689  0.875  0.749
Hg  0.060  0.375  0.749
Hg  0.940  0.625  0.251
Pd  0.000  0.250  0.000
Pd  0.000  0.750  0.000

Calculated values
Polymorph energy (0 for the lowest one), eV per atom: 0.000
M_tot, μB/cell: 0.00
Energy relative to the elements, kJ/mol of formula units: -117
Symmetry: No. 72

***

# 4
SiB2W5 | PBE | relaxed

Unit cell a=6.116 b=6.116 c=7.000 alpha=115.90 beta=115.90 gamma=90.00
Sites, in units of the cell vectors:
Si  0.750  0.750  0.500
Si  0.250  0.250  0.500
B  0.130  0.370  0.000
B  0.630  0.130  0.000
B  0.370  0.870  0.000
B  0.870  0.630  0.000
W  0.518  0.700  0.718
W  0.800  0.982  0.282
W  0.000  0.000  0.000
W  0.500  0.500  0.000
W  0.200  0.018  0.718
W  0.700  0.200  0.718
W  0.018  0.518  0.718
W  0.300  0.800  0.282
W  0.982  0.482  0.282
W  0.482  0.300  0.282

Calculated values
M_tot, μB/cell: 0.00
E_form (uncorrected), eV/atom: -0.271
Symmetry: No. 140

***

# 5
Ba2SbP | PBE | relaxed

Unit cell a=4.297 b=4.297 c=7.247 alpha=90.00 beta=90.00 gamma=90.00
Sites, in units of the cell vectors:
Ba  0.000  0.000  0.770
Ba  0.000  0.000  0.230
Sb  0.500  0.500  0.500
P  0.500  0.500  0.000

Calculated values
Polymorph energy (0 for the lowest one), eV per atom: 0.140
M_tot, μB/cell: 0.00
E_form (uncorrected), eV/atom: -0.743
Symmetry: No. 123

***

# 6
Tb8Y3Er | PBE | relaxed

Unit cell a=7.708 b=7.708 c=9.443 alpha=114.09 beta=114.09 gamma=90.00
Sites, in units of the cell vectors:
Tb  0.876  0.373  0.248
Tb  0.373  0.373  0.248
Tb  0.124  0.124  0.752
Tb  0.627  0.124  0.752
Tb  0.373  0.876  0.248
Tb  0.876  0.876  0.248
Tb  0.627  0.627  0.752
Tb  0.124  0.627  0.752
Y  0.250  0.750  0.500
Y  0.500  0.500  0.000
Y  0.750  0.250  0.500
Er  0.000  0.000  0.000

Calculated values
M_tot, μB/cell: 0.00
Energy relative to the elements, kJ/mol of formula units: 864
Symmetry: No. 139

***

# 7
NdHo5Cd4 | PBE | relaxed

Unit cell a=3.694 b=3.694 c=20.131 alpha=90.00 beta=90.00 gamma=90.00
Sites, in units of the cell vectors:
Nd  0.000  0.000  0.000
Ho  0.500  0.500  0.124
Ho  0.500  0.500  0.313
Ho  0.500  0.500  0.500
Ho  0.500  0.500  0.687
Ho  0.500  0.500  0.876
Cd  0.000  0.000  0.218
Cd  0.000  0.000  0.405
Cd  0.000  0.000  0.595
Cd  0.000  0.000  0.782

Calculated values
M_tot, μB/cell: 0.00
Energy relative to the elements, kJ/mol of formula units: -234
Symmetry: No. 123

***

# 8
CaBiOsO6 | PBE | relaxed

Unit cell a=5.609 b=5.609 c=9.570 alpha=90.00 beta=90.00 gamma=120.00
Last column: magnetic moment on the atom in μB.
Sites, in units of the cell vectors:
Ca  0.000  0.000  0.000  0.01
Ca  0.000  0.000  0.500  0.01
Bi  0.333  0.667  0.250  0.02
Bi  0.667  0.333  0.750  0.02
Os  0.667  0.333  0.250  0.75
Os  0.333  0.667  0.750  0.75
O  0.667  0.618  0.138  0.03
O  0.951  0.333  0.138  0.03
O  0.333  0.951  0.638  0.03
O  0.049  0.667  0.862  0.03
O  0.382  0.333  0.362  0.03
O  0.951  0.618  0.362  0.03
O  0.618  0.951  0.862  0.03
O  0.667  0.049  0.362  0.03
O  0.049  0.382  0.638  0.03
O  0.382  0.049  0.138  0.03
O  0.618  0.667  0.638  0.03
O  0.333  0.382  0.862  0.03

Calculated values
M_tot, μB/cell: 2.07
E_form (uncorrected), eV/atom: -1.526
Symmetry: No. 163